Model 1:
# RbMnI2, relaxed, DFT GGA-PBE
data_RbMnI2
_chemical_formula_sum 'Rb4 Mn4 I8'
_space_group_name_H-M_alt 'F m -3 m'
_space_group_IT_number 225
_space_group_name_Hall '-F 4 2 3'
_cell_length_a 8.4843
_cell_length_b 8.4843
_cell_length_c 8.4843
_cell_angle_alpha 90.00
_cell_angle_beta 90.00
_cell_angle_gamma 90.00
loop_
_atom_site_label
_atom_site_fract_x
_atom_site_fract_y
_atom_site_fract_z
Rb1 0.0000 0.0000 0.0000
Mn1 0.0000 0.0000 0.5000
I1 0.2500 0.2500 0.2500
# M_tot (Bohr magnetons per cell): 24.000
# ρ (g cm⁻³): 4.29

---

Model 2:
# RbMnI2, relaxed, DFT GGA-PBE
data_RbMnI2
_chemical_formula_sum 'Rb3 Mn3 I6'
_space_group_name_H-M_alt 'R -3 m'
_space_group_IT_number 166
_space_group_name_Hall '-R 3 2"'
_cell_length_a 4.3159
_cell_length_b 4.3159
_cell_length_c 31.8661
_cell_angle_alpha 90.00
_cell_angle_beta 90.00
_cell_angle_gamma 120.00
loop_
_atom_site_label
_atom_site_fract_x
_atom_site_fract_y
_atom_site_fract_z
Rb1 0.0000 0.0000 0.0000
Mn1 0.0000 0.0000 0.5000
I1 0.0000 0.0000 0.1166
# M_tot (Bohr magnetons per cell): 13.417
# ρ (g cm⁻³): 3.82

---

The most stable of them is model 2.

---

Model 1:
# RbMn2I, relaxed, DFT GGA-PBE
data_RbMn2I
_chemical_formula_sum 'Rb4 Mn8 I4'
_space_group_name_H-M_alt 'I 41/a m d'
_space_group_IT_number 141
_cell_length_a 5.1697
_cell_length_b 5.1697
_cell_length_c 21.3572
_cell_angle_alpha 90.00
_cell_angle_beta 90.00
_cell_angle_gamma 90.00
loop_
_space_group_symop_operation_xyz
'x,y,z'
'-x,-y,-z'
'-y+1/4,x+3/4,z+1/4'
'y+1/4,-x+3/4,-z+1/4'
'-x+1/2,-y,z+1/2'
'x+1/2,y,-z+1/2'
'y+1/4,-x+1/4,z+3/4'
'-y+1/4,x+1/4,-z+3/4'
'x,-y,-z'
'-x,y,z'
'-y+1/4,-x+1/4,-z+3/4'
'y+1/4,x+1/4,z+3/4'
'-x+1/2,y,-z+1/2'
'x+1/2,-y,z+1/2'
'y+1/4,x+3/4,-z+1/4'
'-y+1/4,-x+3/4,z+1/4'
'x+1/2,y+1/2,z+1/2'
'-x+1/2,-y+1/2,-z+1/2'
'-y+3/4,x+1/4,z+3/4'
'y+3/4,-x+1/4,-z+3/4'
'-x,-y+1/2,z'
'x,y+1/2,-z'
'y+3/4,-x+3/4,z+1/4'
'-y+3/4,x+3/4,-z+1/4'
'x+1/2,-y+1/2,-z+1/2'
'-x+1/2,y+1/2,z+1/2'
'-y+3/4,-x+3/4,-z+1/4'
'y+3/4,x+3/4,z+1/4'
'-x,y+1/2,-z'
'x,-y+1/2,z'
'y+3/4,x+1/4,-z+3/4'
'-y+3/4,-x+1/4,z+3/4'
loop_
_atom_site_label
_atom_site_fract_x
_atom_site_fract_y
_atom_site_fract_z
Rb1 0.0000 0.2500 0.3750
Mn1 0.0000 0.0000 0.0000
I1 0.0000 0.2500 0.8750
# M_tot (Bohr magnetons per cell): 31.670
# ρ (g cm⁻³): 3.75

---

Model 2:
# RbMn2I, relaxed, DFT GGA-PBE
data_RbMn2I
_chemical_formula_sum 'Rb4 Mn8 I4'
_space_group_name_H-M_alt 'F m -3 m'
_space_group_IT_number 225
_space_group_name_Hall '-F 4 2 3'
_cell_length_a 8.1949
_cell_length_b 8.1949
_cell_length_c 8.1949
_cell_angle_alpha 90.00
_cell_angle_beta 90.00
_cell_angle_gamma 90.00
loop_
_atom_site_label
_atom_site_fract_x
_atom_site_fract_y
_atom_site_fract_z
Rb1 0.0000 0.0000 0.0000
Mn1 0.2500 0.2500 0.2500
I1 0.0000 0.0000 0.5000
# M_tot (Bohr magnetons per cell): 39.993
# ρ (g cm⁻³): 3.89

---

The most stable of them is model 1.

---

Model 1:
# RbMn3I, relaxed, DFT GGA-PBE
data_RbMn3I
_chemical_formula_sum 'Rb1 Mn3 I1'
_space_group_name_H-M_alt 'P m -3 m'
_space_group_IT_number 221
_space_group_name_Hall '-P 4 2 3'
_cell_length_a 5.1812
_cell_length_b 5.1812
_cell_length_c 5.1812
_cell_angle_alpha 90.00
_cell_angle_beta 90.00
_cell_angle_gamma 90.00
loop_
_atom_site_label
_atom_site_fract_x
_atom_site_fract_y
_atom_site_fract_z
Rb1 0.0000 0.0000 0.0000
Mn1 0.0000 0.5000 0.5000
I1 0.5000 0.5000 0.5000
# M_tot (Bohr magnetons per cell): 10.095
# ρ (g cm⁻³): 4.50

---

Model 2:
# RbMn3I, relaxed, DFT GGA-PBE
data_RbMn3I
_chemical_formula_sum 'Rb1 Mn3 I1'
_space_group_name_H-M_alt 'P m -3 m'
_space_group_IT_number 221
_space_group_name_Hall '-P 4 2 3'
_cell_length_a 6.3053
_cell_length_b 6.3053
_cell_length_c 6.3053
_cell_angle_alpha 90.00
_cell_angle_beta 90.00
_cell_angle_gamma 90.00
loop_
_atom_site_label
_atom_site_fract_x
_atom_site_fract_y
_atom_site_fract_z
Rb1 0.0000 0.0000 0.0000
Mn1 0.0000 0.0000 0.5000
I1 0.5000 0.5000 0.5000
# M_tot (Bohr magnetons per cell): 15.000
# ρ (g cm⁻³): 2.50

---

The most stable of them is model 1.

---

Model 1:
# RbMnI4, relaxed, DFT GGA-PBE
data_RbMnI4
_chemical_formula_sum 'Rb4 Mn4 I16'
_space_group_name_H-M_alt 'C 1 2/m 1'
_space_group_IT_number 12
_cell_length_a 24.2969
_cell_length_b 5.7938
_cell_length_c 10.9764
_cell_angle_alpha 90.00
_cell_angle_beta 116.77
_cell_angle_gamma 90.00
loop_
_space_group_symop_operation_xyz
'x,y,z'
'-x,-y,-z'
'-x,y,-z'
'x,-y,z'
'x+1/2,y+1/2,z'
'-x+1/2,-y+1/2,-z'
'-x+1/2,y+1/2,-z'
'x+1/2,-y+1/2,z'
loop_
_atom_site_label
_atom_site_fract_x
_atom_site_fract_y
_atom_site_fract_z
Rb1 0.2434 0.0000 0.2436
Mn1 0.0942 0.0000 0.5950
I1 0.0005 0.0000 0.3316
I2 0.0926 0.5000 0.5947
I3 0.1805 0.0000 0.5010
I4 0.1802 0.0000 0.8612
# M_tot (Bohr magnetons per cell): 15.958
# ρ (g cm⁻³): 3.12

---

Model 2:
# RbMnI4, relaxed, DFT GGA-PBE
data_RbMnI4
_chemical_formula_sum 'Rb4 Mn4 I16'
_space_group_name_H-M_alt 'P 1 21/c 1'
_space_group_IT_number 14
_cell_length_a 9.8205
_cell_length_b 11.1019
_cell_length_c 13.1767
_cell_angle_alpha 90.00
_cell_angle_beta 122.45
_cell_angle_gamma 90.00
loop_
_space_group_symop_operation_xyz
'x,y,z'
'-x,-y,-z'
'-x,y+1/2,-z+1/2'
'x,-y+1/2,z+1/2'
loop_
_atom_site_label
_atom_site_fract_x
_atom_site_fract_y
_atom_site_fract_z
Rb1 0.2228 0.1909 0.3269
Mn1 0.2806 0.6559 0.1752
I1 0.0555 0.6818 0.5729
I2 0.1708 0.5319 0.2832
I3 0.3235 0.6174 0.0001
I4 0.4183 0.1604 0.1504
# M_tot (Bohr magnetons per cell): 15.970
# ρ (g cm⁻³): 3.55

---

The most stable of them is model 2.

---

Model 1:
# Rb2MnI4, relaxed, DFT GGA-PBE
data_Rb2MnI4
_chemical_formula_sum 'Rb4 Mn2 I8'
_space_group_name_H-M_alt 'P 1 21/m 1'
_space_group_IT_number 11
_cell_length_a 8.2088
_cell_length_b 8.3664
_cell_length_c 10.3134
_cell_angle_alpha 90.00
_cell_angle_beta 108.44
_cell_angle_gamma 90.00
loop_
_space_group_symop_operation_xyz
'x,y,z'
'-x,-y,-z'
'-x,y+1/2,-z'
'x,-y+1/2,z'
loop_
_atom_site_label
_atom_site_fract_x
_atom_site_fract_y
_atom_site_fract_z
Rb1 0.2169 0.2500 0.0502
Rb2 0.2710 0.2500 0.5712
Mn1 0.2174 0.7500 0.7970
I1 0.9996 0.0015 0.7369
I2 0.3923 0.7500 0.0660
I3 0.4145 0.7500 0.6318
# M_tot (Bohr magnetons per cell): 10.000
# ρ (g cm⁻³): 3.63

---

Model 2:
# Rb2MnI4, relaxed, DFT GGA-PBE
data_Rb2MnI4
_chemical_formula_sum 'Rb4 Mn2 I8'
_space_group_name_H-M_alt 'I 4/m m m'
_space_group_IT_number 139
_space_group_name_Hall '-I 4 2'
_cell_length_a 5.8387
_cell_length_b 5.8387
_cell_length_c 18.3031
_cell_angle_alpha 90.00
_cell_angle_beta 90.00
_cell_angle_gamma 90.00
loop_
_atom_site_label
_atom_site_fract_x
_atom_site_fract_y
_atom_site_fract_z
Rb1 0.0000 0.0000 0.1388
Mn1 0.0000 0.0000 0.5000
I1 0.0000 0.0000 0.3418
I2 0.0000 0.5000 0.0000
# M_tot (Bohr magnetons per cell): 10.000
# ρ (g cm⁻³): 3.90

---

The most stable of them is model 1.

---

Model 1:
# RbMnSb2I, relaxed, DFT GGA-PBE
data_RbMnSb2I
_chemical_formula_sum 'Rb1 Mn1 Sb2 I1'
_space_group_name_H-M_alt 'P 4/m m m'
_space_group_IT_number 123
_space_group_name_Hall '-P 4 2'
_cell_length_a 6.4256
_cell_length_b 6.4256
_cell_length_c 6.5110
_cell_angle_alpha 90.00
_cell_angle_beta 90.00
_cell_angle_gamma 90.00
loop_
_atom_site_label
_atom_site_fract_x
_atom_site_fract_y
_atom_site_fract_z
Rb1 0.0000 0.0000 0.0000
Mn1 0.5000 0.5000 0.5000
Sb1 0.0000 0.5000 0.0000
I1 0.0000 0.0000 0.5000
# M_tot (Bohr magnetons per cell): 2.881
# ρ (g cm⁻³): 3.16

---

Model 2:
# RbMnSb2I, relaxed, DFT GGA-PBE
data_RbMnSb2I
_chemical_formula_sum 'Rb1 Mn1 Sb2 I1'
_space_group_name_H-M_alt 'P 4/m m m'
_space_group_IT_number 123
_space_group_name_Hall '-P 4 2'
_cell_length_a 4.9528
_cell_length_b 4.9528
_cell_length_c 6.5024
_cell_angle_alpha 90.00
_cell_angle_beta 90.00
_cell_angle_gamma 90.00
loop_
_atom_site_label
_atom_site_fract_x
_atom_site_fract_y
_atom_site_fract_z
Rb1 0.0000 0.0000 0.0000
Mn1 0.5000 0.5000 0.5000
Sb1 0.0000 0.5000 0.5000
I1 0.5000 0.5000 0.0000
# M_tot (Bohr magnetons per cell): 0.000
# ρ (g cm⁻³): 5.32

---

The most stable of them is model 2.

---

Model 1:
# Rb2MnTlI6, relaxed, DFT GGA-PBE
data_Rb2MnTlI6
_chemical_formula_sum 'Rb8 Mn4 Tl4 I24'
_space_group_name_H-M_alt 'F m -3 m'
_space_group_IT_number 225
_space_group_name_Hall '-F 4 2 3'
_cell_length_a 12.1159
_cell_length_b 12.1159
_cell_length_c 12.1159
_cell_angle_alpha 90.00
_cell_angle_beta 90.00
_cell_angle_gamma 90.00
loop_
_atom_site_label
_atom_site_fract_x
_atom_site_fract_y
_atom_site_fract_z
Rb1 0.2500 0.2500 0.2500
Mn1 0.0000 0.0000 0.0000
Tl1 0.0000 0.0000 0.5000
I1 0.0000 0.0000 0.2312
# M_tot (Bohr magnetons per cell): 16.000
# ρ (g cm⁻³): 4.45

---

Model 2:
# Rb2MnTlI6, relaxed, DFT GGA-PBE
data_Rb2MnTlI6
_chemical_formula_sum 'Rb4 Mn2 Tl2 I12'
_space_group_name_H-M_alt 'P 1 21/c 1'
_space_group_IT_number 14
_cell_length_a 8.3133
_cell_length_b 8.7012
_cell_length_c 14.5921
_cell_angle_alpha 90.00
_cell_angle_beta 124.47
_cell_angle_gamma 90.00
loop_
_space_group_symop_operation_xyz
'x,y,z'
'-x,-y,-z'
'-x,y+1/2,-z+1/2'
'x,-y+1/2,z+1/2'
loop_
_atom_site_label
_atom_site_fract_x
_atom_site_fract_y
_atom_site_fract_z
Rb1 0.2229 0.0740 0.2466
Mn1 0.0000 0.0000 0.5000
Tl1 0.5000 0.0000 0.0000
I1 0.1425 0.2246 0.9631
I2 0.2363 0.6771 0.9601
I3 0.3044 0.0062 0.7277
# M_tot (Bohr magnetons per cell): 7.971
# ρ (g cm⁻³): 4.55

---

The most stable of them is model 2.

---

Model 1:
# MnReI2, relaxed, DFT GGA-PBE
data_MnReI2
_chemical_formula_sum 'Mn4 Re4 I8'
_space_group_name_H-M_alt 'I -4 2 d'
_space_group_IT_number 122
_space_group_name_Hall 'I -4 2bw'
_cell_length_a 5.8489
_cell_length_b 5.8489
_cell_length_c 11.6815
_cell_angle_alpha 90.00
_cell_angle_beta 90.00
_cell_angle_gamma 90.00
loop_
_atom_site_label
_atom_site_fract_x
_atom_site_fract_y
_atom_site_fract_z
Mn1 0.0000 0.0000 0.0000
Re1 0.0000 0.0000 0.5000
I1 0.2334 0.2500 0.1250
# M_tot (Bohr magnetons per cell): 0.003
# ρ (g cm⁻³): 8.23

---

Model 2:
# MnReI2, relaxed, DFT GGA-PBE
data_MnReI2
_chemical_formula_sum 'Mn4 Re4 I8'
_space_group_name_H-M_alt 'F m -3 m'
_space_group_IT_number 225
_space_group_name_Hall '-F 4 2 3'
_cell_length_a 6.6517
_cell_length_b 6.6517
_cell_length_c 6.6517
_cell_angle_alpha 90.00
_cell_angle_beta 90.00
_cell_angle_gamma 90.00
loop_
_atom_site_label
_atom_site_fract_x
_atom_site_fract_y
_atom_site_fract_z
Mn1 0.0000 0.0000 0.0000
Re1 0.0000 0.0000 0.5000
I1 0.2500 0.2500 0.2500
# M_tot (Bohr magnetons per cell): 0.000
# ρ (g cm⁻³): 11.17

---

The most stable of them is model 1.

---

Model 1:
# MnTeRhI2, relaxed, DFT GGA-PBE
data_MnTeRhI2
_chemical_formula_sum 'Mn1 Te1 Rh1 I2'
_space_group_name_H-M_alt 'P 4/m m m'
_space_group_IT_number 123
_space_group_name_Hall '-P 4 2'
_cell_length_a 5.3309
_cell_length_b 5.3309
_cell_length_c 4.8107
_cell_angle_alpha 90.00
_cell_angle_beta 90.00
_cell_angle_gamma 90.00
loop_
_atom_site_label
_atom_site_fract_x
_atom_site_fract_y
_atom_site_fract_z
Mn1 0.0000 0.0000 0.0000
Te1 0.0000 0.0000 0.5000
Rh1 0.5000 0.5000 0.5000
I1 0.0000 0.5000 0.0000
# M_tot (Bohr magnetons per cell): 0.143
# ρ (g cm⁻³): 6.55

---

Model 2:
# MnTeRhI2, relaxed, DFT GGA-PBE
data_MnTeRhI2
_chemical_formula_sum 'Mn1 Te1 Rh1 I2'
_space_group_name_H-M_alt 'P 4/m m m'
_space_group_IT_number 123
_space_group_name_Hall '-P 4 2'
_cell_length_a 5.3986
_cell_length_b 5.3986
_cell_length_c 5.2784
_cell_angle_alpha 90.00
_cell_angle_beta 90.00
_cell_angle_gamma 90.00
loop_
_atom_site_label
_atom_site_fract_x
_atom_site_fract_y
_atom_site_fract_z
Mn1 0.0000 0.0000 0.0000
Te1 0.5000 0.5000 0.0000
Rh1 0.5000 0.5000 0.5000
I1 0.0000 0.5000 0.5000
# M_tot (Bohr magnetons per cell): 4.944
# ρ (g cm⁻³): 5.82

---

The most stable of them is model 2.

---

Model 1:
# MnTe2RhI, relaxed, DFT GGA-PBE
data_MnTe2RhI
_chemical_formula_sum 'Mn1 Te2 Rh1 I1'
_space_group_name_H-M_alt 'P 4/m m m'
_space_group_IT_number 123
_space_group_name_Hall '-P 4 2'
_cell_length_a 5.1981
_cell_length_b 5.1981
_cell_length_c 5.3614
_cell_angle_alpha 90.00
_cell_angle_beta 90.00
_cell_angle_gamma 90.00
loop_
_atom_site_label
_atom_site_fract_x
_atom_site_fract_y
_atom_site_fract_z
Mn1 0.0000 0.0000 0.0000
Te1 0.0000 0.5000 0.5000
Rh1 0.5000 0.5000 0.5000
I1 0.5000 0.5000 0.0000
# M_tot (Bohr magnetons per cell): 0.581
# ρ (g cm⁻³): 6.19

---

Model 2:
# MnTe2RhI, relaxed, DFT GGA-PBE
data_MnTe2RhI
_chemical_formula_sum 'Mn1 Te2 Rh1 I1'
_space_group_name_H-M_alt 'P 4/m m m'
_space_group_IT_number 123
_space_group_name_Hall '-P 4 2'
_cell_length_a 4.8538
_cell_length_b 4.8538
_cell_length_c 5.5205
_cell_angle_alpha 90.00
_cell_angle_beta 90.00
_cell_angle_gamma 90.00
loop_
_atom_site_label
_atom_site_fract_x
_atom_site_fract_y
_atom_site_fract_z
Mn1 0.0000 0.0000 0.0000
Te1 0.0000 0.5000 0.0000
Rh1 0.5000 0.5000 0.5000
I1 0.0000 0.0000 0.5000
# M_tot (Bohr magnetons per cell): 1.402
# ρ (g cm⁻³): 6.89

---

The most stable of them is model 2.

---

Model 1:
# MnRu2I, relaxed, DFT GGA-PBE
data_MnRu2I
_chemical_formula_sum 'Mn4 Ru8 I4'
_space_group_name_H-M_alt 'F m -3 m'
_space_group_IT_number 225
_space_group_name_Hall '-F 4 2 3'
_cell_length_a 6.3617
_cell_length_b 6.3617
_cell_length_c 6.3617
_cell_angle_alpha 90.00
_cell_angle_beta 90.00
_cell_angle_gamma 90.00
loop_
_atom_site_label
_atom_site_fract_x
_atom_site_fract_y
_atom_site_fract_z
Mn1 0.0000 0.0000 0.0000
Ru1 0.2500 0.2500 0.2500
I1 0.0000 0.0000 0.5000
# M_tot (Bohr magnetons per cell): 21.127
# ρ (g cm⁻³): 9.91

---

Model 2:
# MnRu2I, relaxed, DFT GGA-PBE
data_MnRu2I
_chemical_formula_sum 'Mn4 Ru8 I4'
_space_group_name_H-M_alt 'I -4 2 d'
_space_group_IT_number 122
_space_group_name_Hall 'I -4 2bw'
_cell_length_a 5.6038
_cell_length_b 5.6038
_cell_length_c 10.9614
_cell_angle_alpha 90.00
_cell_angle_beta 90.00
_cell_angle_gamma 90.00
loop_
_atom_site_label
_atom_site_fract_x
_atom_site_fract_y
_atom_site_fract_z
Mn1 0.0000 0.0000 0.0000
Ru1 0.1915 0.2500 0.1250
I1 0.0000 0.0000 0.5000
# M_tot (Bohr magnetons per cell): 0.000
# ρ (g cm⁻³): 7.41

---

The most stable of them is model 1.

---

Model 1:
# Mn2RuI, relaxed, DFT GGA-PBE
data_Mn2RuI
_chemical_formula_sum 'Mn8 Ru4 I4'
_space_group_name_H-M_alt 'I -4 2 d'
_space_group_IT_number 122
_space_group_name_Hall 'I -4 2bw'
_cell_length_a 6.6123
_cell_length_b 6.6123
_cell_length_c 8.0991
_cell_angle_alpha 90.00
_cell_angle_beta 90.00
_cell_angle_gamma 90.00
loop_
_atom_site_label
_atom_site_fract_x
_atom_site_fract_y
_atom_site_fract_z
Mn1 0.2050 0.7500 0.1250
Ru1 0.0000 0.0000 0.0000
I1 0.0000 0.0000 0.5000
# M_tot (Bohr magnetons per cell): 24.869
# ρ (g cm⁻³): 6.34

---

Model 2:
# Mn2RuI, relaxed, DFT GGA-PBE
data_Mn2RuI
_chemical_formula_sum 'Mn8 Ru4 I4'
_space_group_name_H-M_alt 'F m -3 m'
_space_group_IT_number 225
_space_group_name_Hall '-F 4 2 3'
_cell_length_a 6.4455
_cell_length_b 6.4455
_cell_length_c 6.4455
_cell_angle_alpha 90.00
_cell_angle_beta 90.00
_cell_angle_gamma 90.00
loop_
_atom_site_label
_atom_site_fract_x
_atom_site_fract_y
_atom_site_fract_z
Mn1 0.2500 0.2500 0.2500
Ru1 0.0000 0.0000 0.0000
I1 0.0000 0.0000 0.5000
# M_tot (Bohr magnetons per cell): 31.608
# ρ (g cm⁻³): 8.38

---

The most stable of them is model 2.